# 1
VASP calculation (PBE) on a relaxed La4ZnTc crystal.

Properties
- formation enthalpy at 0 K (meV per atom) = 817
- density of states at the Fermi level (states/eV per cell) = 11.10
- space-group type = F-43m (216)

Lattice parameters (Å, degrees): 6.2559 6.2559 6.2559 60.00 60.00 60.00
With the nearest neighbours (Å) after each atom.
Sites, in units of the cell vectors:
La: 0.8715 0.3762 0.3762  6 La 3.10-3.16
La: 0.3762 0.3762 0.8715  6 La 3.10-3.16
La: 0.3762 0.8715 0.3762  6 La 3.10-3.16
La: 0.3762 0.3762 0.3762  6 La 3.10-3.16
Zn: 0.0000 0.0000 0.0000  12 La 3.67, 4 Tc 3.83
Tc: 0.7500 0.7500 0.7500  12 La 3.66, 4 Zn 3.83

***

# 2
VASP calculation (PBE) on a relaxed NdTmIr crystal.

Properties
- formation enthalpy at 0 K (meV per atom) = -597
- density of states at the Fermi level (states/eV per cell) = 5.89
- space-group type = I4/mmm (139)

Lattice parameters (Å, degrees): 4.5484 4.5484 8.0104 106.49 106.49 90.04
With the nearest neighbours (Å) after each atom.
Sites, in units of the cell vectors:
Nd: 0.3150 0.3150 0.1297  1 Ir 2.81
Nd: 0.6850 0.6850 0.8703  1 Ir 2.81
Tm: 0.0000 0.5000 0.5000  4 Ir 2.91, 4 Tm 3.21-3.22
Tm: 0.5000 0.0000 0.5000  4 Ir 2.91, 4 Tm 3.21-3.22
Ir: 0.8768 0.8768 0.2532  1 Nd 2.81, 4 Tm 2.91
Ir: 0.1232 0.1232 0.7468  1 Nd 2.81, 4 Tm 2.91

***

- density of states at the Fermi level of number 2 (NdTmIr)?
  5.89 states/eV per cell